First-principles (PBE) data for a relaxed K2Zr2CoS6 crystal, as listed in Alexandria via LeMat-Bulk.

abc: 6.3046 6.3046 7.8709
angles: 97.87 97.87 119.94
Last column: magnetic moment on the atom in μB.
Fractional coordinates of all 11 atoms:
K  0.8322  0.1678  0.0000  0.00
K  0.1678  0.8322  0.0000  0.00
Zr  0.3297  0.6703  0.5000  0.02
Zr  0.6703  0.3297  0.5000  0.02
Co  0.0000  0.0000  0.5000  0.87
S  0.7569  0.7569  0.6774  -0.02
S  0.0734  0.3903  0.6911  0.02
S  0.2431  0.2431  0.3226  -0.02
S  0.3903  0.0734  0.6911  0.02
S  0.9266  0.6097  0.3089  0.02
S  0.6097  0.9266  0.3089  0.02

uncorrected formation energy = -28.1 kcal/mol of atoms